Record 1
DFT (PBE) results for a relaxed structure of LiY4Cu3.

Space-group type: No. 166
Energy relative to the elements, eV per atom: -0.158

Unit cell a=4.9788 b=4.9788 c=8.6475 alpha=73.27 beta=73.27 gamma=60.00
Closest atoms and distances in Å follow each position.
Positions (direct):
Y  0.8711  0.8711  0.3867  7 Cu 3.02-3.14, 1 Li 3.15
Y  0.1289  0.1289  0.6133  7 Cu 3.02-3.14, 1 Li 3.15
Cu  0.2556  0.2556  0.2331  8 Y 2.98-3.14
Li  0.0000  0.0000  0.0000  8 Y 3.09-3.15, 6 Cu 3.45
Y  0.3792  0.3792  0.8626  5 Cu 2.96-3.02, 3 Li 3.09
Y  0.6208  0.6208  0.1374  5 Cu 2.96-3.02, 3 Li 3.09
Cu  0.5000  0.5000  0.5000  8 Y 2.96-3.02
Cu  0.7444  0.7444  0.7669  8 Y 2.98-3.14

=====

Record 2
DFT (PBE) results for a relaxed structure of LiY4Zn2Cu.

Space-group type: No. 166
Energy relative to the elements, eV per atom: -0.228

Unit cell a=5.0559 b=5.0559 c=8.7708 alpha=73.25 beta=73.25 gamma=60.00
Closest atoms and distances in Å follow each position.
Positions (direct):
Zn  0.7442  0.7442  0.7673  8 Y 3.02-3.19
Cu  0.5000  0.5000  0.5000  8 Y 2.99-3.07
Y  0.3796  0.3796  0.8611  1 Cu 2.99, 4 Zn 3.02-3.07, 3 Li 3.14
Li  0.0000  0.0000  0.0000  8 Y 3.14-3.20, 6 Zn 3.50
Y  0.1289  0.1289  0.6132  3 Cu 3.07, 4 Zn 3.15-3.19, 1 Li 3.20
Zn  0.2558  0.2558  0.2327  8 Y 3.02-3.19
Y  0.8711  0.8711  0.3868  3 Cu 3.07, 4 Zn 3.15-3.19, 1 Li 3.20
Y  0.6204  0.6204  0.1389  1 Cu 2.99, 4 Zn 3.02-3.07, 3 Li 3.14

=====

Record 3
DFT (PBE) results for a relaxed structure of LiY2Zn12Cu3.

Space-group type: No. 166
Energy relative to the elements, eV per atom: 0.191

Unit cell a=7.4790 b=7.4790 c=7.4790 alpha=71.90 beta=71.90 gamma=71.90
Closest atoms and distances in Å follow each position.
Positions (direct):
Zn  0.7036  0.1696  0.7036  2 Cu 2.49, 1 Zn 2.73
Zn  0.7036  0.7036  0.1696  2 Cu 2.49, 1 Zn 2.73
Zn  0.8563  0.3589  0.8563  1 Cu 2.36, 1 Li 2.58
Y  0.6031  0.6031  0.6031  6 Zn 2.91-2.99
Zn  0.2964  0.2964  0.8304  2 Cu 2.49, 1 Zn 2.73
Li  0.0000  0.0000  0.0000  6 Zn 2.58
Zn  0.6411  0.1437  0.1437  1 Cu 2.36, 1 Li 2.58
Zn  0.1696  0.7036  0.7036  2 Cu 2.49, 1 Zn 2.73
Cu  0.0000  0.5000  0.0000  6 Zn 2.36-2.49
Cu  0.0000  0.0000  0.5000  6 Zn 2.36-2.49
Y  0.3969  0.3969  0.3969  6 Zn 2.91-2.99
Zn  0.2964  0.8304  0.2964  2 Cu 2.49, 1 Zn 2.73
Zn  0.8563  0.8563  0.3589  1 Cu 2.36, 1 Li 2.58
Zn  0.8304  0.2964  0.2964  2 Cu 2.49, 1 Zn 2.73
Zn  0.1437  0.6411  0.1437  1 Cu 2.36, 1 Li 2.58
Cu  0.5000  0.0000  0.0000  6 Zn 2.36-2.49
Zn  0.1437  0.1437  0.6411  1 Cu 2.36, 1 Li 2.58
Zn  0.3589  0.8563  0.8563  1 Cu 2.36, 1 Li 2.58

=====

Record 4
DFT (PBE) results for a relaxed structure of LiY2Zn3Cu12.

Space-group type: No. 166
Energy relative to the elements, eV per atom: 0.140

Unit cell a=9.3741 b=9.3741 c=9.3741 alpha=38.86 beta=38.86 gamma=38.86
Closest atoms and distances in Å follow each position.
Positions (direct):
Li  0.0000  0.0000  0.0000  6 Cu 2.37
Cu  0.3573  0.9245  0.9245  1 Li 2.37, 2 Cu 2.47, 1 Zn 2.55
Y  0.6503  0.6503  0.6503  6 Cu 2.95-3.01
Cu  0.9245  0.3573  0.9245  1 Li 2.37, 2 Cu 2.47, 1 Zn 2.55
Cu  0.0755  0.0755  0.6427  1 Li 2.37, 2 Cu 2.47, 1 Zn 2.55
Zn  0.0000  0.0000  0.5000  6 Cu 2.41-2.55
Zn  0.0000  0.5000  0.0000  6 Cu 2.41-2.55
Cu  0.4211  0.8072  0.4211  4 Cu 2.41-2.47, 2 Zn 2.41
Cu  0.5789  0.1928  0.5789  4 Cu 2.41-2.47, 2 Zn 2.41
Cu  0.4211  0.4211  0.8072  4 Cu 2.41-2.47, 2 Zn 2.41
Cu  0.5789  0.5789  0.1928  4 Cu 2.41-2.47, 2 Zn 2.41
Cu  0.1928  0.5789  0.5789  4 Cu 2.41-2.47, 2 Zn 2.41
Cu  0.6427  0.0755  0.0755  1 Li 2.37, 2 Cu 2.47, 1 Zn 2.55
Cu  0.0755  0.6427  0.0755  1 Li 2.37, 2 Cu 2.47, 1 Zn 2.55
Y  0.3497  0.3497  0.3497  6 Cu 2.95-3.01
Zn  0.5000  0.0000  0.0000  6 Cu 2.41-2.55
Cu  0.8072  0.4211  0.4211  4 Cu 2.41-2.47, 2 Zn 2.41
Cu  0.9245  0.9245  0.3573  1 Li 2.37, 2 Cu 2.47, 1 Zn 2.55

=====

Record 5
DFT (PBE) results for a relaxed structure of LiY2ZnCu6.

Space-group type: No. 2
Energy relative to the elements, eV per atom: -0.121

Unit cell a=8.1893 b=6.7586 c=7.2049 alpha=57.38 beta=36.85 gamma=82.40
Closest atoms and distances in Å follow each position.
Positions (direct):
Li  0.5000  0.5000  0.0000  4 Cu 2.33-2.40
Cu  0.0496  0.8910  0.3789  1 Li 2.33, 3 Cu 2.46-2.53
Cu  0.4155  0.4412  0.7764  1 Li 2.40, 4 Cu 2.53-2.66
Y  0.3375  0.8737  0.4685  9 Cu 2.76-3.07, 1 Zn 3.00
Y  0.6625  0.1263  0.5315  9 Cu 2.76-3.07, 1 Zn 3.00
Cu  0.0035  0.5718  0.2949  4 Cu 2.51-2.67, 1 Zn 2.52, 1 Li 2.72
Cu  0.5845  0.5588  0.2236  1 Li 2.40, 4 Cu 2.53-2.66
Cu  0.9504  0.1090  0.6211  1 Li 2.33, 3 Cu 2.46-2.53
Zn  0.0000  0.0000  0.0000  6 Cu 2.52-2.77
Cu  0.9965  0.4282  0.7051  4 Cu 2.51-2.67, 1 Zn 2.52, 1 Li 2.72

=====

Record 6
DFT (PBE) results for a relaxed structure of LiYZn6Cu.

Space-group type: No. 74
Energy relative to the elements, eV per atom: -0.024

Unit cell a=6.8308 b=8.7063 c=7.7470 alpha=124.19 beta=116.16 gamma=90.00
Closest atoms and distances in Å follow each position.
Positions (direct):
Zn  0.0079  0.7579  0.0159  8 Zn 2.85-2.90, 2 Li 3.13
Zn  0.3149  0.6141  0.2488  1 Cu 2.51, 2 Zn 2.60-2.70, 1 Li 2.67
Y  0.7005  0.4505  0.4010  10 Zn 3.00-3.33, 2 Cu 3.08
Zn  0.5759  0.8259  0.1518  2 Cu 2.33, 2 Li 2.55
Li  0.0000  0.0000  0.5000  6 Zn 2.55-2.67
Cu  0.5000  0.0000  0.0000  6 Zn 2.33-2.51
Zn  0.9921  0.2421  0.9841  8 Zn 2.85-2.90, 2 Li 3.13
Zn  0.9339  0.6141  0.2488  1 Cu 2.51, 2 Zn 2.60-2.70, 1 Li 2.67
Zn  0.6851  0.8654  0.7512  1 Cu 2.51, 2 Zn 2.60-2.70, 1 Li 2.67
Zn  0.4241  0.1741  0.8482  2 Cu 2.33, 2 Li 2.55
Zn  0.3149  0.1346  0.2488  1 Cu 2.51, 2 Zn 2.60-2.70, 1 Li 2.67
Cu  0.5000  0.5000  0.0000  6 Zn 2.33-2.51
Zn  0.6851  0.3859  0.7512  1 Cu 2.51, 2 Zn 2.60-2.70, 1 Li 2.67
Li  0.5000  0.0000  0.5000  6 Zn 2.55-2.67
Zn  0.9339  0.1346  0.2488  1 Cu 2.51, 2 Zn 2.60-2.70, 1 Li 2.67
Zn  0.0661  0.8654  0.7512  1 Cu 2.51, 2 Zn 2.60-2.70, 1 Li 2.67
Y  0.2995  0.5495  0.5990  10 Zn 3.00-3.33, 2 Cu 3.08
Zn  0.0661  0.3859  0.7512  1 Cu 2.51, 2 Zn 2.60-2.70, 1 Li 2.67

=====

Record 7
DFT (PBE) results for a relaxed structure of LiZn7Cu4.

Space-group type: No. 12
Energy relative to the elements, eV per atom: 0.034
Energy above the lowest structure with this stoichiometry, meV per atom: 129

Unit cell a=4.4043 b=7.4232 c=6.1743 alpha=81.05 beta=69.10 gamma=72.74
Closest atoms and distances in Å follow each position.
Positions (direct):
Zn  0.5000  0.0000  0.0000  2 Li 2.20, 4 Cu 2.44-2.46
Li  0.0000  0.0000  0.0000  2 Zn 2.20
Cu  0.6913  0.6556  0.9619  8 Zn 2.46-2.67, 1 Cu 2.51
Zn  0.0634  0.6484  0.2247  5 Cu 2.46-2.67, 1 Zn 2.59, 1 Li 2.74
Cu  0.4270  0.7935  0.3525  7 Zn 2.44-2.61, 1 Cu 2.51
Zn  0.2186  0.1423  0.4206  4 Cu 2.53-2.61, 2 Zn 2.59-2.68
Zn  0.9366  0.3516  0.7753  5 Cu 2.46-2.67, 1 Zn 2.59, 1 Li 2.74
Cu  0.5730  0.2065  0.6475  7 Zn 2.44-2.61, 1 Cu 2.51
Zn  0.7814  0.8577  0.5794  4 Cu 2.53-2.61, 2 Zn 2.59-2.68
Cu  0.3087  0.3444  0.0381  8 Zn 2.46-2.67, 1 Cu 2.51
Zn  0.3437  0.5980  0.7147  4 Cu 2.44-2.67
Zn  0.6563  0.4020  0.2853  4 Cu 2.44-2.67

=====

Record 8
DFT (PBE) results for a relaxed structure of LiZn2Cu.

Space-group type: No. 123
Energy relative to the elements, eV per atom: -0.143

Unit cell a=3.9696 b=3.9696 c=3.4091 alpha=90.00 beta=90.00 gamma=90.00
Closest atoms and distances in Å follow each position.
Positions (direct):
Zn  0.0000  0.0000  0.0000  4 Cu 2.62, 4 Li 2.62, 4 Zn 2.81
Zn  0.5000  0.5000  0.0000  4 Li 2.62, 4 Cu 2.62, 4 Zn 2.81
Cu  0.5000  0.0000  0.5000  8 Zn 2.62, 4 Li 2.81
Li  0.0000  0.5000  0.5000  8 Zn 2.62, 4 Cu 2.81

=====

Record 9
DFT (PBE) results for a relaxed structure of Li6Zn3Cu.

Space-group type: No. 58
Energy relative to the elements, eV per atom: -0.085
Energy above the lowest structure with this stoichiometry, meV per atom: 0

Unit cell a=4.5642 b=7.7903 c=9.4721 alpha=90.00 beta=90.01 gamma=90.00
Closest atoms and distances in Å follow each position.
Positions (direct):
Li  0.0000  0.3299  0.7608  3 Zn 2.61-2.62
Cu  0.0000  0.0000  0.0000  2 Zn 2.34
Li  0.0000  0.6733  0.9100  1 Cu 2.68, 3 Zn 2.79-2.91
Zn  0.0000  0.0055  0.2470  1 Cu 2.34, 1 Zn 2.40, 1 Li 2.61
Zn  0.5000  0.4945  0.7470  1 Cu 2.34, 1 Zn 2.40, 1 Li 2.61
Cu  0.5000  0.5000  0.5000  2 Zn 2.34
Zn  0.5000  0.5000  0.0000  2 Zn 2.40
Zn  0.5000  0.5055  0.2530  1 Cu 2.34, 1 Zn 2.40, 1 Li 2.61
Li  0.5000  0.8299  0.7392  3 Zn 2.61-2.62
Li  0.5000  0.8432  0.0850  2 Cu 2.71, 3 Zn 2.79-3.03, 3 Li 2.93-3.03
Li  0.5000  0.8267  0.4100  1 Cu 2.68, 3 Zn 2.79-2.91
Zn  0.0000  0.0000  0.5000  2 Zn 2.40
Li  0.5000  0.1568  0.9150  2 Cu 2.71, 3 Zn 2.79-3.03, 3 Li 2.93-3.03
Li  0.0000  0.6568  0.5850  2 Cu 2.71, 3 Zn 2.79-3.03, 3 Li 2.93-3.03
Li  0.0000  0.3267  0.0900  1 Cu 2.68, 3 Zn 2.79-2.91
Li  0.0000  0.3432  0.4150  2 Cu 2.71, 3 Zn 2.79-3.03, 3 Li 2.93-3.03
Zn  0.0000  0.9945  0.7530  1 Cu 2.34, 1 Zn 2.40, 1 Li 2.61
Li  0.5000  0.1733  0.5900  1 Cu 2.68, 3 Zn 2.79-2.91
Li  0.5000  0.1701  0.2608  3 Zn 2.61-2.62
Li  0.0000  0.6701  0.2392  3 Zn 2.61-2.62

=====

Record 10
DFT (PBE) results for a relaxed structure of LiZn2Cu.

Space-group type: No. 71
Energy relative to the elements, eV per atom: 0.095

Unit cell a=5.9766 b=5.9766 c=5.9766 alpha=154.95 beta=51.24 gamma=136.06
Closest atoms and distances in Å follow each position.
Positions (direct):
Zn  0.7256  0.0000  0.7256  1 Cu 2.43, 6 Zn 2.59-2.64
Cu  0.5000  0.0000  0.5000  2 Zn 2.43, 4 Li 2.58, 2 Cu 2.59
Li  0.0000  0.0000  0.0000  4 Cu 2.58, 2 Li 2.59
Zn  0.2744  0.0000  0.2744  1 Cu 2.43, 6 Zn 2.59-2.64

=====

Record 11
DFT (PBE) results for a relaxed structure of LiZn4Cu5.

Space-group type: No. 79
Energy relative to the elements, eV per atom: 0.112
Energy above the lowest structure with this stoichiometry, meV per atom: 215

Unit cell a=5.0955 b=5.8390 c=5.8390 alpha=79.02 beta=64.13 gamma=64.13
Closest atoms and distances in Å follow each position.
Positions (direct):
Zn  0.1309  0.2663  0.3882  5 Cu 2.43-2.70, 1 Zn 2.72
Zn  0.7855  0.7337  0.6118  5 Cu 2.43-2.70, 1 Zn 2.72
Cu  0.0645  0.6441  0.1191  1 Cu 2.42, 1 Li 2.43, 4 Zn 2.43-2.63
Cu  0.8277  0.3559  0.8809  1 Cu 2.42, 1 Li 2.43, 4 Zn 2.43-2.63
Zn  0.5191  0.6118  0.2663  5 Cu 2.43-2.70, 1 Zn 2.72
Cu  0.6692  0.0000  0.0000  1 Li 2.27, 4 Cu 2.42
Cu  0.1837  0.8809  0.6441  1 Cu 2.42, 1 Li 2.43, 4 Zn 2.43-2.63
Cu  0.7086  0.1191  0.3559  1 Cu 2.42, 1 Li 2.43, 4 Zn 2.43-2.63
Li  0.2237  0.0000  0.0000  5 Cu 2.27-2.43
Zn  0.3973  0.3882  0.7337  5 Cu 2.43-2.70, 1 Zn 2.72

=====

Record 12
DFT (PBE) results for a relaxed structure of Li8ZnCu4.

Space-group type: No. 139
Energy relative to the elements, eV per atom: 0.001

Unit cell a=4.8961 b=6.8164 c=6.8164 alpha=82.59 beta=68.95 gamma=68.95
Closest atoms and distances in Å follow each position.
Positions (direct):
Li  0.6680  0.3320  0.3320  4 Cu 2.66, 2 Li 2.70
Li  0.5000  0.7958  0.2042  4 Cu 2.59, 4 Li 2.60-2.70
Li  0.7042  0.7958  0.7958  4 Cu 2.59, 4 Li 2.60-2.70
Li  0.5000  0.2042  0.7958  4 Cu 2.59, 4 Li 2.60-2.70
Li  0.3320  0.6680  0.6680  4 Cu 2.66, 2 Li 2.70
Li  0.0000  0.3320  0.6680  4 Cu 2.66, 2 Li 2.70
Cu  0.5000  0.5000  0.0000  2 Cu 2.45, 8 Li 2.59-2.66
Zn  0.0000  0.0000  0.0000  12 Li 2.99-3.06
Cu  0.0000  0.5000  0.0000  2 Cu 2.45, 8 Li 2.59-2.66
Li  0.2958  0.2042  0.2042  4 Cu 2.59, 4 Li 2.60-2.70
Li  0.0000  0.6680  0.3320  4 Cu 2.66, 2 Li 2.70
Cu  0.5000  0.0000  0.5000  2 Cu 2.45, 8 Li 2.59-2.66
Cu  0.0000  0.0000  0.5000  2 Cu 2.45, 8 Li 2.59-2.66

=====

Q: The lowest energy relative to the elements belongs to which entry?
A: LiY4Zn2Cu